1.
# InGaPb2, optimized geometry, DFT PBE
data_InGaPb2
_chemical_formula_sum 'In2 Ga2 Pb4'
_cell_length_a 4.749
_cell_length_b 4.849
_cell_length_c 10.325
_cell_angle_alpha 90.00
_cell_angle_beta 101.89
_cell_angle_gamma 90.00
_symmetry_space_group_name_H-M 'P 1'
_symmetry_Int_Tables_number 1
_symmetry_space_group_name_Hall 'P 1'
loop_
_atom_site_label
_atom_site_type_symbol
_atom_site_fract_x
_atom_site_fract_y
_atom_site_fract_z
In1 In 0.174 0.250 0.378
In2 In 0.826 0.750 0.622
Ga1 Ga 0.340 0.250 0.657
Ga2 Ga 0.660 0.750 0.343
Pb1 Pb 0.070 0.750 0.138
Pb2 Pb 0.428 0.750 0.858
Pb3 Pb 0.572 0.250 0.142
Pb4 Pb 0.930 0.250 0.862
# E_tot = -3.23 eV/atom
# ΔH_f (0 K) = 0.26 eV per formula unit
# Spin magnetization = 0.000 μB/cell

2.
# Co2RhW, optimized geometry, DFT PBE
data_Co2RhW
_chemical_formula_sum 'Co2 Rh1 W1'
_cell_length_a 2.683
_cell_length_b 2.683
_cell_length_c 7.215
_cell_angle_alpha 90.00
_cell_angle_beta 90.00
_cell_angle_gamma 90.00
_symmetry_space_group_name_H-M 'P 1'
_symmetry_Int_Tables_number 1
_symmetry_space_group_name_Hall 'P 1'
loop_
_atom_site_label
_atom_site_type_symbol
_atom_site_fract_x
_atom_site_fract_y
_atom_site_fract_z
Co1 Co 0.000 0.000 0.247
Co2 Co 0.000 0.000 0.753
Rh1 Rh 0.500 0.500 0.000
W1 W 0.500 0.500 0.500
# E_tot = -8.52 eV/atom
# ΔH_f (0 K) = 0.42 eV per formula unit
# Spin magnetization = 2.562 μB/cell

3.
# CePm2Eu, optimized geometry, DFT PBE
data_CePm2Eu
_chemical_formula_sum 'Ce1 Pm2 Eu1'
_cell_length_a 3.627
_cell_length_b 3.627
_cell_length_c 10.451
_cell_angle_alpha 90.00
_cell_angle_beta 90.00
_cell_angle_gamma 90.00
_symmetry_space_group_name_H-M 'P 1'
_symmetry_Int_Tables_number 1
_symmetry_space_group_name_Hall 'P 1'
loop_
_atom_site_label
_atom_site_type_symbol
_atom_site_fract_x
_atom_site_fract_y
_atom_site_fract_z
Ce1 Ce 0.000 0.000 0.000
Pm1 Pm 0.500 0.500 0.227
Pm2 Pm 0.500 0.500 0.773
Eu1 Eu 0.000 0.000 0.500
# E_tot = -6.35 eV/atom
# ΔH_f (0 K) = 0.32 eV per formula unit
# Spin magnetization = 7.392 μB/cell

4.
# FePtAu, optimized geometry, DFT PBE
data_FePtAu
_chemical_formula_sum 'Fe1 Pt1 Au1'
_cell_length_a 4.401
_cell_length_b 4.401
_cell_length_c 2.806
_cell_angle_alpha 90.00
_cell_angle_beta 90.00
_cell_angle_gamma 120.00
_symmetry_space_group_name_H-M 'P 1'
_symmetry_Int_Tables_number 1
_symmetry_space_group_name_Hall 'P 1'
loop_
_atom_site_label
_atom_site_type_symbol
_atom_site_fract_x
_atom_site_fract_y
_atom_site_fract_z
Fe1 Fe 0.000 0.000 0.000
Pt1 Pt 0.667 0.333 0.102
Au1 Au 0.333 0.667 0.573
# E_tot = -5.90 eV/atom
# ΔH_f (0 K) = 0.07 eV per formula unit
# Spin magnetization = 3.431 μB/cell

5.
# Sc6AlTc, optimized geometry, DFT PBE
data_Sc6AlTc
_chemical_formula_sum 'Sc6 Al1 Tc1'
_cell_length_a 8.317
_cell_length_b 8.317
_cell_length_c 8.317
_cell_angle_alpha 34.69
_cell_angle_beta 34.69
_cell_angle_gamma 34.69
_symmetry_space_group_name_H-M 'P 1'
_symmetry_Int_Tables_number 1
_symmetry_space_group_name_Hall 'P 1'
loop_
_atom_site_label
_atom_site_type_symbol
_atom_site_fract_x
_atom_site_fract_y
_atom_site_fract_z
Sc1 Sc 0.108 0.108 0.108
Sc2 Sc 0.233 0.233 0.233
Sc3 Sc 0.365 0.365 0.365
Sc4 Sc 0.635 0.635 0.635
Sc5 Sc 0.767 0.767 0.767
Sc6 Sc 0.892 0.892 0.892
Al1 Al 0.500 0.500 0.500
Tc1 Tc 0.000 0.000 0.000
# E_tot = -6.64 eV/atom
# ΔH_f (0 K) = -1.00 eV per formula unit
# Spin magnetization = 0.000 μB/cell

6.
# Ac2Zn3Ge4Pd, optimized geometry, DFT PBE
data_Ac2Zn3Ge4Pd
_chemical_formula_sum 'Ac2 Zn3 Ge4 Pd1'
_cell_length_a 4.530
_cell_length_b 4.530
_cell_length_c 10.274
_cell_angle_alpha 90.00
_cell_angle_beta 90.00
_cell_angle_gamma 90.00
_symmetry_space_group_name_H-M 'P 1'
_symmetry_Int_Tables_number 1
_symmetry_space_group_name_Hall 'P 1'
loop_
_atom_site_label
_atom_site_type_symbol
_atom_site_fract_x
_atom_site_fract_y
_atom_site_fract_z
Ac1 Ac 0.000 0.500 0.247
Ac2 Ac 0.500 0.000 0.753
Zn1 Zn 0.000 0.000 0.000
Zn2 Zn 0.000 0.500 0.627
Zn3 Zn 0.500 0.000 0.373
Ge1 Ge 0.000 0.000 0.500
Ge2 Ge 0.000 0.500 0.873
Ge3 Ge 0.500 0.000 0.127
Ge4 Ge 0.500 0.500 0.500
Pd1 Pd 0.500 0.500 0.000
# E_tot = -4.12 eV/atom
# ΔH_f (0 K) = -5.46 eV per formula unit
# Spin magnetization = 0.000 μB/cell